Entry from the Alexandria database: crystalline KSrMg2 at its relaxed geometry (PBE).

Values from the calculation:
energy above the lowest structure with this stoichiometry: 71.3 meV per atom
SG: No. 216

Unit cell a=5.879 b=5.879 c=5.879 alpha=60.00 beta=60.00 gamma=60.00
Atoms (fractional coordinates):
K 0.000 0.000 0.000
Sr 0.250 0.250 0.250
Mg 0.500 0.500 0.500
Mg 0.750 0.750 0.750

=====

Entry from the Alexandria database: crystalline SiTeHN2 at its relaxed geometry (PBE).

Values from the calculation:
energy above the lowest structure with this stoichiometry: 960.2 meV per atom
SG: No. 123

Unit cell a=4.200 b=4.200 c=3.072 alpha=90.00 beta=90.00 gamma=90.00
Atoms (fractional coordinates):
Si 0.000 0.000 0.000
Te 0.500 0.500 0.000
H 0.000 0.000 0.500
N 0.000 0.500 0.500
N 0.500 0.000 0.500

=====

Entry from the Alexandria database: crystalline NaMn2HgCl8 at its relaxed geometry (PBE).

Values from the calculation:
SG: No. 147

Unit cell a=6.739 b=6.739 c=8.816 alpha=90.00 beta=90.00 gamma=120.00
Atoms (fractional coordinates):
Na 0.000 0.000 0.000
Mn 0.333 0.667 0.753
Mn 0.667 0.333 0.247
Hg 0.000 0.000 0.500
Cl 0.014 0.319 0.693
Cl 0.305 0.986 0.693
Cl 0.319 0.305 0.307
Cl 0.333 0.667 0.002
Cl 0.667 0.333 0.998
Cl 0.681 0.695 0.693
Cl 0.695 0.014 0.307
Cl 0.986 0.681 0.307

=====

| no. | energy (eV/cell) | DOS(E_F) (states/eV/f.u.) | calculated density (g cm⁻³) |
| --- | --- | --- | --- |
| 1 | -5.28 | 5.0 | 2.0 |
| 2 | -20.08 | 1.5 | 5.7 |
| 3 | -45.90 | 7.0 | 3.0 |